1.
Density functional theory data (PBE) for an optimized crystal structure of GeMoIN2.

## Properties
Relative energy among the computed polymorphs ... 0 meV/atom
Space-group type ... No. 123
Formation energy without anion corrections ... 0.826 eV/atom
V ... 91.8 Å³/cell
E ... -5.904 eV per atom

Cell lengths 4.033, 4.033, 5.645 Å; angles 90.00, 90.00, 90.00 degrees
Fractional positions:
Ge 0.500 0.500 0.500
N 0.500 0.000 0.000
N 0.000 0.500 0.000
Mo 0.000 0.000 0.000
I 0.000 0.000 0.500



2.
Density functional theory data (PBE) for an optimized crystal structure of ZrCo2Au.

## Properties
Relative energy among the computed polymorphs ... 106 meV/atom
Space-group type ... No. 225
Energy relative to the elements ... -0.13 eV per atom
V ... 59.3 Å³/cell
E ... -6.635 eV per atom

Cell lengths 4.378, 4.378, 4.378 Å; angles 60.00, 60.00, 60.00 degrees
Fractional positions:
Co 0.250 0.250 0.250
Co 0.750 0.750 0.750
Au 0.500 0.500 0.500
Zr 0.000 0.000 0.000